[1]
La3Pb: relaxed, PBE.

Results
The uncorrected energy comes out at -4.942 eV/atom. The value obtained for the density of states at the Fermi level is 4.99 states/eV/f.u. For the energy relative to the elements, the calculation gives -319.3 meV/atom.

Lattice parameters (Å, degrees): 6.812 6.812 6.812 147.88 126.21 64.04
Fractional positions:
Pb (0.684, 0.000, 0.684)
La (0.730, 0.729, 0.001)
La (0.272, 0.271, 0.001)
La (0.148, 0.500, 0.648)

[2]
LaPb: relaxed, PBE.

Results
The uncorrected energy comes out at -4.806 eV/atom. The value obtained for the density of states at the Fermi level is 1.74 states/eV/f.u. For the energy relative to the elements, the calculation gives -488.3 meV/atom.

Lattice parameters (Å, degrees): 3.862 5.495 6.652 90.00 90.00 90.00
Fractional positions:
La (0.000, 0.000, 0.125)
La (0.500, 0.500, 0.625)
Pb (0.000, 0.000, 0.625)
Pb (0.500, 0.500, 0.125)

[3]
La3Pb4: relaxed, PBE.

Results
The uncorrected energy comes out at -4.437 eV/atom. The value obtained for the density of states at the Fermi level is 6.98 states/eV/f.u. For the energy relative to the elements, the calculation gives -206.2 meV/atom. The excess energy over the best structure of this formula in the dataset is 365.6 meV per atom.

Lattice parameters (Å, degrees): 6.657 6.657 6.003 90.00 90.00 120.00
Fractional positions:
La (0.000, 0.500, 0.000)
La (0.500, 0.500, 0.000)
La (0.500, 0.000, 0.000)
Pb (0.000, 0.000, 0.247)
Pb (0.000, 0.000, 0.753)
Pb (0.667, 0.333, 0.500)
Pb (0.333, 0.667, 0.500)

[4]
La3Pb: relaxed, PBE.

Results
The uncorrected energy comes out at -4.975 eV/atom. The value obtained for the density of states at the Fermi level is 5.88 states/eV/f.u. For the energy relative to the elements, the calculation gives -352.6 meV/atom.

Lattice parameters (Å, degrees): 6.343 6.343 6.343 133.62 133.62 67.68
Fractional positions:
Pb (0.000, 0.000, 0.000)
La (0.250, 0.750, 0.500)
La (0.500, 0.500, 0.000)
La (0.750, 0.250, 0.500)

[5]
La2Pb: relaxed, PBE.

Results
The uncorrected energy comes out at -4.568 eV/atom. The value obtained for the density of states at the Fermi level is 3.21 states/eV/f.u. For the energy relative to the elements, the calculation gives -47.0 meV/atom.

Lattice parameters (Å, degrees): 6.539 6.539 6.539 60.00 60.00 60.00
Fractional positions:
La (0.625, 0.125, 0.125)
La (0.125, 0.625, 0.125)
La (0.125, 0.125, 0.625)
La (0.125, 0.125, 0.125)
Pb (0.500, 0.500, 0.500)
Pb (0.750, 0.750, 0.750)

[6]
La3Pb: relaxed, PBE.

Results
The uncorrected energy comes out at -4.962 eV/atom. The value obtained for the density of states at the Fermi level is 6.03 states/eV/f.u. For the energy relative to the elements, the calculation gives -339.6 meV/atom.

Lattice parameters (Å, degrees): 6.357 7.036 17.657 90.00 90.00 90.00
Fractional positions:
La (0.157, 0.997, 0.417)
La (0.157, 0.997, 0.083)
La (0.535, 0.999, 0.750)
La (0.465, 0.001, 0.250)
La (0.843, 0.003, 0.917)
La (0.843, 0.003, 0.583)
La (0.929, 0.250, 0.250)
La (0.343, 0.250, 0.916)
La (0.343, 0.250, 0.584)
La (0.157, 0.503, 0.417)
La (0.157, 0.503, 0.083)
La (0.535, 0.501, 0.750)
La (0.465, 0.499, 0.250)
La (0.843, 0.497, 0.917)
La (0.843, 0.497, 0.583)
La (0.071, 0.750, 0.750)
La (0.657, 0.750, 0.416)
La (0.657, 0.750, 0.084)
Pb (0.027, 0.250, 0.750)
Pb (0.653, 0.250, 0.418)
Pb (0.653, 0.250, 0.082)
Pb (0.973, 0.750, 0.250)
Pb (0.347, 0.750, 0.918)
Pb (0.347, 0.750, 0.582)

Q: Among the records above, which one has the highest uncorrected energy?
A: La3Pb4